[1]
Material: MnSe2F2
Method: DFT, meta-GGA SCAN
State: single point on PBEsol structure

Unit cell a=3.4075 b=3.4075 c=16.8170 alpha=90.00 beta=90.00 gamma=90.00
With the nearest neighbours (Å) after each atom.
Sites, in units of the cell vectors:
Mn1 0.0000 0.0000 0.0000  8 F 2.67
Mn2 0.5000 0.5000 0.5000  8 F 2.67
Se1 0.0000 0.5000 0.2500  4 Se 2.41
Se2 0.0000 0.5000 0.7500  4 Se 2.41
Se3 0.5000 0.0000 0.2500  4 Se 2.41
Se4 0.5000 0.0000 0.7500  4 Se 2.41
F1 0.0000 0.0000 0.4315  1 F 2.31
F2 0.0000 0.0000 0.5685  1 F 2.31
F3 0.5000 0.5000 0.0685  1 F 2.31
F4 0.5000 0.5000 0.9315  1 F 2.31

Summary:
Total DFT energy (no corrections) = -13.9174 eV per atom
Density = 4.27 g/cm³
M_tot = 10.229 μB per cell

***

[2]
Material: FeCoCl2
Method: DFT, meta-GGA SCAN
State: single point on PBEsol structure

Unit cell a=5.8980 b=7.3445 c=3.1628 alpha=90.00 beta=117.42 gamma=90.00
With the nearest neighbours (Å) after each atom.
Sites, in units of the cell vectors:
Fe1 0.0000 0.0000 0.0000  4 Cl 2.35
Fe2 0.5000 0.5000 0.0000  4 Cl 2.35
Co1 0.0000 0.5000 0.0000  4 Cl 2.35
Co2 0.5000 0.0000 0.0000  4 Cl 2.35
Cl1 0.2500 0.2500 0.0000  2 Fe 2.35, 2 Co 2.35
Cl2 0.2500 0.7500 0.0000  2 Co 2.35, 2 Fe 2.35
Cl3 0.7500 0.2500 0.0000  2 Co 2.35, 2 Fe 2.35
Cl4 0.7500 0.7500 0.0000  2 Fe 2.35, 2 Co 2.35

Summary:
Total DFT energy (no corrections) = -12.8284 eV per atom
Density = 5.07 g/cm³
M_tot = 10.039 μB per cell

***

[3]
Material: SrPb2Se
Method: DFT, meta-GGA SCAN
State: single point on PBEsol structure

Unit cell a=3.7568 b=3.7568 c=8.3499 alpha=90.00 beta=90.00 gamma=90.00
With the nearest neighbours (Å) after each atom.
Sites, in units of the cell vectors:
Sr1 0.0000 0.0000 0.0000  4 Se 3.02
Pb1 0.0000 0.0000 0.5708  8 Pb 3.37-3.76, 4 Se 3.42, 1 Sr 3.58
Pb2 0.5000 0.5000 0.3230  8 Pb 3.37-3.76
Se1 0.5000 0.5000 0.8289  4 Sr 3.02

Summary:
Total DFT energy (no corrections) = -49.2365 eV per atom
Density = 8.19 g/cm³
M_tot = 0.000 μB per cell

***

[4]
Material: TmSi2Ru2
Method: DFT, meta-GGA SCAN
State: single point on PBEsol structure

Unit cell a=4.1175 b=4.1175 c=9.4067 alpha=90.00 beta=90.00 gamma=90.00
With the nearest neighbours (Å) after each atom.
Sites, in units of the cell vectors:
Tm1 0.0000 0.0000 0.0000  8 Ru 3.13, 10 Si 3.16-3.48
Tm2 0.5000 0.5000 0.5000  8 Ru 3.13, 10 Si 3.16-3.48
Si1 0.0000 0.0000 0.3703  4 Ru 2.35, 1 Si 2.44
Si2 0.0000 0.0000 0.6297  4 Ru 2.35, 1 Si 2.44
Si3 0.5000 0.5000 0.1297  4 Ru 2.35, 1 Si 2.44
Si4 0.5000 0.5000 0.8703  4 Ru 2.35, 1 Si 2.44
Ru1 0.0000 0.5000 0.2500  4 Si 2.35
Ru2 0.0000 0.5000 0.7500  4 Si 2.35
Ru3 0.5000 0.0000 0.2500  4 Si 2.35
Ru4 0.5000 0.0000 0.7500  4 Si 2.35

Summary:
Total DFT energy (no corrections) = -29.2900 eV per atom
Density = 8.90 g/cm³
M_tot = 0.000 μB per cell

***

[5]
Material: BaCaO3
Method: DFT, meta-GGA SCAN
State: single point on PBEsol structure

Unit cell a=4.5838 b=4.5838 c=4.5838 alpha=90.00 beta=90.00 gamma=90.00
With the nearest neighbours (Å) after each atom.
Sites, in units of the cell vectors:
Ba1 0.0000 0.0000 0.0000  6 O 2.29
Ca1 0.5000 0.5000 0.5000  12 O 3.24
O1 0.0000 0.0000 0.5000  2 Ba 2.29
O2 0.0000 0.5000 0.0000  2 Ba 2.29
O3 0.5000 0.0000 0.0000  2 Ba 2.29

Summary:
Total DFT energy (no corrections) = -14.8458 eV per atom
Density = 3.89 g/cm³
M_tot = 0.486 μB per cell

***

[6]
Material: LiMg2Al
Method: DFT, meta-GGA SCAN
State: single point on PBEsol structure

Unit cell a=4.5141 b=4.5141 c=3.7614 alpha=90.00 beta=90.00 gamma=90.00
With the nearest neighbours (Å) after each atom.
Sites, in units of the cell vectors:
Li1 0.0000 0.0000 0.0000  8 Mg 2.94, 4 Al 3.19
Mg1 0.0000 0.5000 0.5000  4 Li 2.94, 4 Al 2.94, 4 Mg 3.19
Mg2 0.5000 0.0000 0.5000  4 Li 2.94, 4 Al 2.94, 4 Mg 3.19
Al1 0.5000 0.5000 0.0000  8 Mg 2.94, 4 Li 3.19

Summary:
Total DFT energy (no corrections) = -5.0618 eV per atom
Density = 1.79 g/cm³
M_tot = 0.004 μB per cell
Formation energy = -0.04 eV/atom

***

[7]
Material: AlAs2W
Method: DFT, meta-GGA SCAN
State: single point on PBEsol structure

Unit cell a=4.3711 b=4.3711 c=6.5354 alpha=90.00 beta=90.00 gamma=90.00
With the nearest neighbours (Å) after each atom.
Sites, in units of the cell vectors:
Al1 0.0000 0.0000 0.0000  8 As 2.73
Al2 0.5000 0.5000 0.5000  8 As 2.73
As1 0.0000 0.5000 0.2500  4 W 2.73, 4 Al 2.73
As2 0.0000 0.5000 0.7500  4 W 2.73, 4 Al 2.73
As3 0.5000 0.0000 0.2500  4 W 2.73, 4 Al 2.73
As4 0.5000 0.0000 0.7500  4 W 2.73, 4 Al 2.73
W1 0.0000 0.0000 0.5000  8 As 2.73
W2 0.5000 0.5000 0.0000  8 As 2.73

Summary:
Total DFT energy (no corrections) = -29.1064 eV per atom
Density = 9.59 g/cm³
M_tot = 0.000 μB per cell
Formation energy = 0.35 eV/atom

***

[8]
Material: ZrP2Au
Method: DFT, meta-GGA SCAN
State: single point on PBEsol structure

Unit cell a=6.0032 b=8.2138 c=2.9822 alpha=90.00 beta=113.66 gamma=90.00
With the nearest neighbours (Å) after each atom.
Sites, in units of the cell vectors:
Zr1 0.0000 0.0000 0.0000  4 P 2.63
Zr2 0.5000 0.5000 0.0000  4 P 2.63
P1 0.2500 0.2500 0.5000  2 Zr 2.63, 2 Au 2.63
P2 0.2500 0.7500 0.5000  2 Zr 2.63, 2 Au 2.63
P3 0.7500 0.2500 0.5000  2 Zr 2.63, 2 Au 2.63
P4 0.7500 0.7500 0.5000  2 Zr 2.63, 2 Au 2.63
Au1 0.0000 0.5000 0.0000  4 P 2.63
Au2 0.5000 0.0000 0.0000  4 P 2.63

Summary:
Total DFT energy (no corrections) = -30.3439 eV per atom
Density = 8.63 g/cm³
M_tot = 0.000 μB per cell
Formation energy = -0.18 eV/atom